P:
Compound: Na13Li2
Source: Alexandria via LeMat-Bulk
Functional: PBE
Structure: optimized geometry

The structure in extended XYZ format:
```
15
Lattice="-7.0689 -1.3256 6.1737 -3.2808 -8.7394 1.6431 2.2051 -4.2987 8.8779" Properties=species:S:1:pos:R:3 pbc="T T T"
Na -4.6065 -3.6930 8.4849
Na -4.6174 -5.5995 5.3022
Na -3.5272 -8.7643 11.3925
Na -1.4558 -5.1236 7.1669
Na -6.6889 -9.2401 9.5278
Na -2.2020 -8.3988 5.6091
Na -2.2824 -5.4482 10.7691
Na -0.8450 -8.2613 9.0500
Na -7.2996 -6.1024 7.6447
Na -5.8623 -8.9155 5.9256
Na -3.5382 -10.6707 8.2098
Na -5.9426 -5.9650 11.0855
Na -4.0723 -7.1819 8.3473
Li -5.9596 -10.7976 12.6862
Li -2.1851 -3.5661 4.0085
```

Properties
Total magnetization, Bohr magnetons per cell: 0.00

---

Q:
Compound: Na13Li2
Source: Alexandria via LeMat-Bulk
Functional: PBE
Structure: optimized geometry

The structure in extended XYZ format:
```
15
Lattice="6.5046 0.0076 0.4451 -0.7957 9.1031 0.0202 -0.1829 -4.4834 8.6579" Properties=species:S:1:pos:R:3 pbc="T T T"
Na 2.2431 4.3742 7.1147
Na 0.0000 0.0000 0.0000
Na 1.8501 3.5981 3.7582
Na 5.1544 3.2786 2.3861
Na 3.6922 1.5645 8.9178
Na 1.5086 -2.0217 5.2451
Na 3.6759 1.0292 5.3649
Na 4.0175 6.6490 3.8781
Na 3.2830 0.2531 2.0084
Na 1.8339 3.0628 0.2053
Na 0.3716 1.3487 6.7370
Na 4.9007 -1.7223 7.3576
Na 0.6253 6.3496 1.7655
Li 0.1728 0.5809 3.3985
Li 5.3533 4.0464 5.7246
```

Properties
Total magnetization, Bohr magnetons per cell: 0.00

---

Energies, relative to the best one, in meV per atom: P 143; Q 0.

---

P:
Compound: Na2Li
Source: Alexandria via LeMat-Bulk
Functional: PBE
Structure: optimized geometry

The structure in extended XYZ format:
```
6
Lattice="3.4176 0.0000 0.0000 0.0000 3.4176 0.0000 -1.7088 -1.7088 16.2237" Properties=species:S:1:pos:R:3 pbc="T T T"
Li 0.0000 0.0000 0.0000
Li 1.7088 0.0000 8.1119
Na 1.7088 1.7088 2.4356
Na 0.0000 1.7088 5.6763
Na 0.0000 0.0000 13.7882
Na 0.0000 1.7088 10.5474
```

Properties
Total magnetization, Bohr magnetons per cell: 0.00

---

Q:
Compound: Na2Li
Source: Alexandria via LeMat-Bulk
Functional: PBE
Structure: optimized geometry

The structure in extended XYZ format:
```
6
Lattice="3.6593 0.0000 0.0000 0.0000 3.6593 0.0000 0.0000 0.0000 13.9392" Properties=species:S:1:pos:R:3 pbc="T T T"
Li 1.8296 0.0000 13.1880
Li 0.0000 1.8296 0.7512
Na 1.8296 0.0000 8.3295
Na 0.0000 1.8296 11.0681
Na 0.0000 1.8296 5.6097
Na 1.8296 0.0000 2.8712
```

Properties
Total magnetization, Bohr magnetons per cell: 0.00

---

R:
Compound: Na2Li
Source: Alexandria via LeMat-Bulk
Functional: PBE
Structure: optimized geometry

The structure in extended XYZ format:
```
3
Lattice="-2.1907 0.6398 2.9740 2.7795 -1.0687 2.2773 1.8993 6.4878 -2.3592" Properties=species:S:1:pos:R:3 pbc="T T T"
Li 0.0000 0.0000 0.0000
Na 1.5213 4.3505 0.1848
Na 0.9668 1.7084 2.7073
```

Properties
Total magnetization, Bohr magnetons per cell: 0.00

---

Energies, relative to the best one, in meV per atom: P 34; Q 0; R 16.

---

P:
Compound: Na4Li
Source: Alexandria via LeMat-Bulk
Functional: PBE
Structure: optimized geometry

The structure in extended XYZ format:
```
5
Lattice="-0.5362 1.9001 -5.4665 3.4646 -4.2920 -1.8317 -4.6357 -3.4275 -0.7367" Properties=species:S:1:pos:R:3 pbc="T T T"
Li -0.8537 -2.9097 -4.0174
Na -2.5859 -0.7637 -3.1016
Na 0.0000 0.0000 0.0000
Na -0.5856 -3.8598 -1.2842
Na 1.4642 -1.1960 -3.6491
```

Properties
Total magnetization, Bohr magnetons per cell: 0.00

---

Q:
Compound: Na4Li
Source: Alexandria via LeMat-Bulk
Functional: PBE
Structure: optimized geometry

The structure in extended XYZ format:
```
10
Lattice="6.9397 0.0000 0.0000 3.4698 5.4450 0.7361 3.4698 1.5946 9.0639" Properties=species:S:1:pos:R:3 pbc="T T T"
Li 5.2051 0.0000 0.0000
Li 1.7345 0.0000 0.0000
Na 10.4095 4.5390 7.7497
Na 5.2046 5.0100 4.0732
Na 8.6747 2.0296 5.7268
Na 8.6747 5.0100 4.0732
Na 3.4698 2.5006 2.0502
Na 6.9397 4.5387 7.7473
Na 6.9397 2.5009 2.0527
Na 5.2046 2.0296 5.7268
```

Properties
Total magnetization, Bohr magnetons per cell: 0.00

---

R:
Compound: Na4Li
Source: Alexandria via LeMat-Bulk
Functional: PBE
Structure: optimized geometry

The structure in extended XYZ format:
```
5
Lattice="4.4718 0.0000 0.7699 -0.1326 4.4699 0.7699 0.6846 0.7052 9.3951" Properties=species:S:1:pos:R:3 pbc="T T T"
Na 3.6630 1.4701 5.4675
Na 1.3608 3.7050 5.4675
Na 3.1273 3.2215 8.5787
Na 1.8965 1.9536 2.3563
Li 0.0000 0.0000 0.0000
```

Properties
Total magnetization, Bohr magnetons per cell: 0.00

---

Energies, relative to the best one, in meV per atom: P 136; Q 0; R 93.

---

P:
Compound: Na2LiNb2
Source: Alexandria via LeMat-Bulk
Functional: PBE
Structure: optimized geometry

The structure in extended XYZ format:
```
5
Lattice="3.9557 0.0000 0.0000 0.0000 3.9557 0.0000 1.9778 1.9778 7.5195" Properties=species:S:1:pos:R:3 pbc="T T T"
Na 1.9778 3.9557 3.7597
Na 3.9557 1.9778 3.7597
Nb 1.9778 1.9778 1.0791
Nb 3.9557 3.9557 6.4404
Li 0.0000 0.0000 0.0000
```

Properties
Total magnetization, Bohr magnetons per cell: 0.00

---

Q:
Compound: Na2LiNb2
Source: Alexandria via LeMat-Bulk
Functional: PBE
Structure: optimized geometry

The structure in extended XYZ format:
```
10
Lattice="9.4708 0.0000 0.0000 0.0000 9.4708 0.0000 0.0000 0.0000 2.8346" Properties=species:S:1:pos:R:3 pbc="T T T"
Li 4.7354 4.7354 0.0000
Li 0.0000 0.0000 0.0000
Na 1.8965 6.6319 1.4173
Na 2.8388 1.8965 1.4173
Na 7.5742 2.8388 1.4173
Na 6.6319 7.5742 1.4173
Nb 5.5850 0.8497 0.0000
Nb 0.8497 3.8857 0.0000
Nb 3.8857 8.6211 0.0000
Nb 8.6211 5.5850 0.0000
```

Properties
Total magnetization, Bohr magnetons per cell: 0.00

---

Energies, relative to the best one, in meV per atom: P 53; Q 0.

---

P:
Compound: NaLiNd
Source: Alexandria via LeMat-Bulk
Functional: PBE
Structure: optimized geometry

The structure in extended XYZ format:
```
3
Lattice="3.4924 0.0000 0.0000 -1.7462 3.0245 0.0000 0.0000 0.0000 8.7958" Properties=species:S:1:pos:R:3 pbc="T T T"
Nd 0.0000 0.0000 0.1424
Na 0.0000 2.0163 5.7633
Li 1.7462 1.0082 2.8900
```

Properties
Total magnetization, Bohr magnetons per cell: 0.00

---

Q:
Compound: NaLiNd
Source: Alexandria via LeMat-Bulk
Functional: PBE
Structure: optimized geometry

The structure in extended XYZ format:
```
6
Lattice="-1.9988 1.7462 -2.4762 -2.9736 -0.5606 2.0049 2.2477 12.0968 6.7162" Properties=species:S:1:pos:R:3 pbc="T T T"
Li 0.6826 9.9253 3.7877
Li -0.9211 2.7643 2.6928
Nd 0.5594 10.7321 7.1165
Nd -0.7979 1.9575 -0.6360
Na -0.0939 5.7460 1.4673
Na -0.1445 6.9436 5.0132
```

Properties
Total magnetization, Bohr magnetons per cell: 0.00

---

R:
Compound: NaLiNd
Source: Alexandria via LeMat-Bulk
Functional: PBE
Structure: optimized geometry

The structure in extended XYZ format:
```
3
Lattice="3.3704 0.0000 0.0000 0.0000 3.3704 0.0000 -1.6852 -1.6852 8.1523" Properties=species:S:1:pos:R:3 pbc="T T T"
Na 0.0000 0.0000 5.2829
Li 1.6852 1.6852 2.7017
Nd 0.0000 0.0000 0.1677
```

Properties
Total magnetization, Bohr magnetons per cell: 0.00

---

Energies, relative to the best one, in meV per atom: P 57; Q 0; R 103.

---

P:
Compound: Na2Li2Ni
Source: Alexandria via LeMat-Bulk
Functional: PBE
Structure: optimized geometry

The structure in extended XYZ format:
```
10
Lattice="7.1313 0.0000 0.0000 0.0000 7.1313 0.0000 0.0000 0.0000 4.3918" Properties=species:S:1:pos:R:3 pbc="T T T"
Li 2.2599 1.3057 2.1959
Li 1.3057 4.8714 2.1959
Li 4.8714 5.8255 2.1959
Li 5.8255 2.2599 2.1959
Na 4.5856 1.0199 0.0000
Na 1.0199 2.5457 0.0000
Na 6.1113 4.5856 0.0000
Na 2.5457 6.1113 0.0000
Ni 3.5656 3.5656 0.0000
Ni 0.0000 0.0000 0.0000
```

Properties
Total magnetization, Bohr magnetons per cell: 0.00

---

Q:
Compound: Na2Li2Ni
Source: Alexandria via LeMat-Bulk
Functional: PBE
Structure: optimized geometry

The structure in extended XYZ format:
```
5
Lattice="3.6081 0.0000 0.0000 0.0000 3.6081 0.0000 1.8041 1.8041 8.8311" Properties=species:S:1:pos:R:3 pbc="T T T"
Li 1.8041 3.6081 4.4155
Li 3.6081 1.8041 4.4155
Na 1.8041 1.8041 1.5882
Na 3.6081 3.6081 7.2428
Ni 0.0000 0.0000 0.0000
```

Properties
Total magnetization, Bohr magnetons per cell: 0.00

---

Energies, relative to the best one, in meV per atom: P 0; Q 19.